Record 1
## Pr6HgRu (GGA-PBE)

Data for a geometry-optimized Pr6HgRu structure.

Computed properties:
* total energy: -0.3528 Ry per atom
* M_tot: 0.0000 μB per atom
* ΔH_f (0 K): -1.8 kJ per mole of atoms

Cell: 7.0419 7.0728 7.8313 Å, 63.47 63.56 60.14°
Closest atoms and distances in Å follow each position.
Fractional coordinates of all 8 atoms:
Pr 0.0464 0.4165 0.7580  1 Ru 2.79, 1 Hg 3.11
Pr 0.7776 0.0450 0.7572  1 Ru 2.79, 1 Hg 3.11
Pr 0.5830 0.2206 0.2427  1 Ru 2.79, 1 Hg 3.11
Pr 0.2224 0.9550 0.2428  1 Ru 2.79, 1 Hg 3.11
Pr 0.9536 0.5835 0.2420  1 Ru 2.79, 1 Hg 3.11
Pr 0.4170 0.7794 0.7573  1 Ru 2.79, 1 Hg 3.11
Hg 0.5000 0.5000 0.5000  6 Pr 3.11
Ru 0.0000 0.0000 0.0000  6 Pr 2.79

Record 2
## Pr5HgRu (GGA-PBE)

Data for a geometry-optimized Pr5HgRu structure.

Computed properties:
* total energy: -0.3611 Ry per atom
* M_tot: 0.0000 μB per atom
* ΔH_f (0 K): -12.7 kJ per mole of atoms

Cell: 6.2501 6.2501 12.1324 Å, 76.25 76.25 75.21°
Closest atoms and distances in Å follow each position.
Fractional coordinates of all 14 atoms:
Pr 0.9240 0.5830 0.1295  1 Ru 2.80
Pr 0.2084 0.5501 0.5567  1 Ru 2.78
Pr 0.5830 0.9240 0.6295  1 Ru 2.80
Pr 0.0103 0.9897 0.2500  2 Ru 3.03, 1 Hg 3.13
Pr 0.4499 0.7916 0.9433  1 Ru 2.78
Pr 0.5501 0.2084 0.0567  1 Ru 2.78
Pr 0.9897 0.0103 0.7500  2 Ru 3.03, 1 Hg 3.13
Pr 0.4170 0.0760 0.3705  1 Ru 2.80
Pr 0.7916 0.4499 0.4433  1 Ru 2.78
Pr 0.0760 0.4170 0.8705  1 Ru 2.80
Hg 0.4204 0.5796 0.2500  5 Pr 3.13-3.50
Hg 0.5796 0.4204 0.7500  5 Pr 3.13-3.50
Ru 0.0000 0.0000 0.0000  6 Pr 2.78-3.03
Ru 0.0000 0.0000 0.5000  6 Pr 2.78-3.03

Record 3
## Pr4Hg2Ru (GGA-PBE)

Data for a geometry-optimized Pr4Hg2Ru structure.

Computed properties:
* total energy: -0.3284 Ry per atom
* M_tot: 0.0000 μB per atom
* ΔH_f (0 K): -31.4 kJ per mole of atoms
* energy relative to the lowest polymorph listed for this composition: 0 meV per atom

Cell: 4.7256 6.1847 8.1274 Å, 75.36 73.10 67.54°
Closest atoms and distances in Å follow each position.
Fractional coordinates of all 7 atoms:
Pr 0.0695 0.2091 0.6520  1 Ru 2.78
Pr 0.9305 0.7909 0.3480  1 Ru 2.78
Pr 0.3304 0.2781 0.0611  2 Ru 2.93, 2 Hg 3.27
Pr 0.6696 0.7219 0.9389  2 Ru 2.93, 2 Hg 3.27
Hg 0.3529 0.6258 0.6683  1 Hg 3.18, 8 Pr 3.27-3.45
Hg 0.6471 0.3742 0.3317  1 Hg 3.18, 8 Pr 3.27-3.45
Ru 0.0000 0.0000 0.0000  6 Pr 2.78-2.93

Record 4
## Pr3HgRu (GGA-PBE)

Data for a geometry-optimized Pr3HgRu structure.

Computed properties:
* total energy: -0.3580 Ry per atom
* M_tot: 0.0000 μB per atom
* ΔH_f (0 K): -8.4 kJ per mole of atoms
* energy relative to the lowest polymorph listed for this composition: 208 meV per atom

Cell: 5.4866 5.4866 5.4866 Å, 90.00 90.00 90.00°
Closest atoms and distances in Å follow each position.
Fractional coordinates of all 5 atoms:
Pr 0.0000 0.5000 0.0000  2 Ru 2.74
Pr 0.0000 0.0000 0.5000  2 Ru 2.74
Pr 0.5000 0.0000 0.0000  2 Ru 2.74
Ru 0.0000 0.0000 0.0000  6 Pr 2.74
Hg 0.5000 0.5000 0.5000  12 Pr 3.88

Record 5
## Pr12HgRu6 (GGA-PBE)

Data for a geometry-optimized Pr12HgRu6 structure.

Computed properties:
* total energy: -0.4503 Ry per atom
* M_tot: 0.0000 μB per atom
* ΔH_f (0 K): -15.7 kJ per mole of atoms

Cell: 8.8708 8.8708 8.8708 Å, 109.47 109.47 109.47°
Closest atoms and distances in Å follow each position.
Fractional coordinates of all 19 atoms:
Pr 0.2995 0.1028 0.8033  1 Ru 2.78
Pr 0.2995 0.4961 0.1967  1 Ru 2.78
Pr 0.7005 0.5039 0.8033  1 Ru 2.78
Pr 0.7005 0.8972 0.1967  1 Ru 2.78
Pr 0.1028 0.8033 0.2995  1 Ru 2.78
Pr 0.4961 0.1967 0.2995  1 Ru 2.78
Pr 0.5039 0.8033 0.7005  1 Ru 2.78
Pr 0.8972 0.1967 0.7005  1 Ru 2.78
Pr 0.8033 0.2995 0.1028  1 Ru 2.78
Pr 0.1967 0.2995 0.4961  1 Ru 2.78
Pr 0.8033 0.7005 0.5039  1 Ru 2.78
Pr 0.1967 0.7005 0.8972  1 Ru 2.78
Hg 0.0000 0.0000 0.0000  12 Pr 3.67
Ru 0.3796 0.5000 0.8796  1 Ru 2.47
Ru 0.6204 0.5000 0.1204  1 Ru 2.47
Ru 0.5000 0.8796 0.3796  1 Ru 2.47
Ru 0.5000 0.1204 0.6204  1 Ru 2.47
Ru 0.8796 0.3796 0.5000  1 Ru 2.47
Ru 0.1204 0.6204 0.5000  1 Ru 2.47

Record 6
## Pr2HgRu (GGA-PBE)

Data for a geometry-optimized Pr2HgRu structure.

Computed properties:
* total energy: -0.3730 Ry per atom
* M_tot: 0.0000 μB per atom
* ΔH_f (0 K): -28.0 kJ per mole of atoms
* energy relative to the lowest polymorph listed for this composition: 0 meV per atom

Cell: 3.6095 3.6095 7.8639 Å, 90.00 90.00 90.00°
Closest atoms and distances in Å follow each position.
Fractional coordinates of all 4 atoms:
Pr 0.0000 0.0000 0.7799  4 Ru 3.08, 4 Hg 3.37
Pr 0.0000 0.0000 0.2201  4 Ru 3.08, 4 Hg 3.37
Ru 0.5000 0.5000 0.0000  8 Pr 3.08
Hg 0.5000 0.5000 0.5000  8 Pr 3.37, 4 Hg 3.61

Record 7
## PrHgRu (GGA-PBE)

Data for a geometry-optimized PrHgRu structure.

Computed properties:
* total energy: -0.3469 Ry per atom
* M_tot: 0.0000 μB per atom
* ΔH_f (0 K): 6.4 kJ per mole of atoms

Cell: 4.8236 4.8236 7.5950 Å, 94.59 111.51 107.27°
Closest atoms and distances in Å follow each position.
Fractional coordinates of all 6 atoms:
Pr 0.2199 0.6200 0.8399  3 Ru 2.76-3.08
Pr 0.7801 0.3800 0.1601  3 Ru 2.76-3.08
Hg 0.0000 0.0000 0.5000  2 Ru 2.82, 2 Hg 2.86
Hg 0.5000 0.5000 0.5000  2 Ru 2.82, 2 Hg 2.86
Ru 0.1432 0.0292 0.1724  1 Ru 2.42
Ru 0.8568 0.9708 0.8276  1 Ru 2.42

Record 8
## Pr4HgRu (GGA-PBE)

Data for a geometry-optimized Pr4HgRu structure.

Computed properties:
* total energy: -0.3729 Ry per atom
* M_tot: 0.0000 μB per atom
* ΔH_f (0 K): -28.1 kJ per mole of atoms
* energy relative to the lowest polymorph listed for this composition: 0 meV per atom

Cell: 9.9680 9.9680 9.9680 Å, 60.00 60.00 60.00°
Closest atoms and distances in Å follow each position.
Fractional coordinates of all 24 atoms:
Pr 0.4027 0.4027 0.4027  3 Ru 2.97
Pr 0.7920 0.4027 0.4027  3 Ru 2.97
Pr 0.4027 0.7920 0.4027  3 Ru 2.97
Pr 0.4027 0.4027 0.7920  3 Ru 2.97
Pr 0.5588 0.5588 0.9412  2 Ru 2.85
Pr 0.9412 0.9412 0.5588  2 Ru 2.85
Pr 0.5588 0.9412 0.5588  2 Ru 2.85
Pr 0.9412 0.5588 0.9412  2 Ru 2.85
Pr 0.9412 0.5588 0.5588  2 Ru 2.85
Pr 0.5588 0.9412 0.9412  2 Ru 2.85
Pr 0.1897 0.1897 0.8103  2 Hg 3.35, 6 Pr 3.57-3.72, 2 Ru 3.58
Pr 0.8103 0.8103 0.1897  2 Hg 3.35, 6 Pr 3.57-3.72, 2 Ru 3.58
Pr 0.1897 0.8103 0.1897  2 Hg 3.35, 6 Pr 3.57-3.72, 2 Ru 3.58
Pr 0.8103 0.1897 0.8103  2 Hg 3.35, 6 Pr 3.57-3.72, 2 Ru 3.58
Pr 0.8103 0.1897 0.1897  2 Hg 3.35, 6 Pr 3.57-3.72, 2 Ru 3.58
Pr 0.1897 0.8103 0.8103  2 Hg 3.35, 6 Pr 3.57-3.72, 2 Ru 3.58
Hg 0.1671 0.1671 0.1671  3 Hg 3.30, 9 Pr 3.35-3.60
Hg 0.4987 0.1671 0.1671  3 Hg 3.30, 9 Pr 3.35-3.60
Hg 0.1671 0.4987 0.1671  3 Hg 3.30, 9 Pr 3.35-3.60
Hg 0.1671 0.1671 0.4987  3 Hg 3.30, 9 Pr 3.35-3.60
Ru 0.6121 0.6121 0.6121  6 Pr 2.85-2.97
Ru 0.1638 0.6121 0.6121  6 Pr 2.85-2.97
Ru 0.6121 0.1638 0.6121  6 Pr 2.85-2.97
Ru 0.6121 0.6121 0.1638  6 Pr 2.85-2.97

Record 9
## Pr8Hg2Ru3 (GGA-PBE)

Data for a geometry-optimized Pr8Hg2Ru3 structure.

Computed properties:
* total energy: -0.3888 Ry per atom
* M_tot: 0.0000 μB per atom
* ΔH_f (0 K): -15.6 kJ per mole of atoms

Cell: 5.0874 10.1576 9.0805 Å, 123.82 90.00 90.00°
Closest atoms and distances in Å follow each position.
Fractional coordinates of all 13 atoms:
Pr 0.0000 0.6114 0.2222  2 Ru 3.03-3.05, 2 Hg 3.24, 1 Pr 3.35
Pr 0.0000 0.3886 0.7778  2 Ru 3.03-3.05, 2 Hg 3.24, 1 Pr 3.35
Pr 0.0000 0.1139 0.2275  4 Ru 3.06-3.07, 2 Hg 3.33
Pr 0.0000 0.8861 0.7725  4 Ru 3.06-3.07, 2 Hg 3.33
Pr 0.5000 0.6421 0.7769  3 Ru 3.02-3.05, 2 Hg 3.26-3.31, 1 Pr 3.37
Pr 0.5000 0.1336 0.7761  3 Ru 3.01-3.05, 2 Hg 3.26-3.32
Pr 0.5000 0.8664 0.2239  3 Ru 3.01-3.05, 2 Hg 3.26-3.32
Pr 0.5000 0.3579 0.2231  3 Ru 3.02-3.05, 2 Hg 3.26-3.31, 1 Pr 3.37
Hg 0.5000 0.2565 0.5126  8 Pr 3.24-3.33
Hg 0.5000 0.7435 0.4874  8 Pr 3.24-3.33
Ru 0.5000 0.0000 0.0000  8 Pr 3.01-3.07
Ru 0.0000 0.2504 0.0001  8 Pr 3.03-3.07
Ru 0.0000 0.7496 0.9999  8 Pr 3.03-3.07

Record 10
## Pr4Hg2Ru (GGA-PBE)

Data for a geometry-optimized Pr4Hg2Ru structure.

Computed properties:
* total energy: -0.3168 Ry per atom
* M_tot: 0.0000 μB per atom
* ΔH_f (0 K): -16.2 kJ per mole of atoms
* energy relative to the lowest polymorph listed for this composition: 158 meV per atom

Cell: 5.4087 5.4087 8.7182 Å, 108.07 108.07 90.00°
Closest atoms and distances in Å follow each position.
Fractional coordinates of all 7 atoms:
Pr 0.8176 0.8176 0.6351  1 Ru 2.86, 1 Hg 3.08
Pr 0.1824 0.1824 0.3649  1 Ru 2.86, 1 Hg 3.08
Pr 0.0000 0.5000 0.0000  2 Ru 2.70
Pr 0.5000 0.0000 0.0000  2 Ru 2.70
Ru 0.0000 0.0000 0.0000  6 Pr 2.70-2.86
Hg 0.6208 0.6208 0.2415  5 Pr 3.08-3.30
Hg 0.3792 0.3792 0.7585  5 Pr 3.08-3.30

Record 11
## Pr5Hg2Ru2 (GGA-PBE)

Data for a geometry-optimized Pr5Hg2Ru2 structure.

Computed properties:
* total energy: -0.3739 Ry per atom
* M_tot: 0.0000 μB per atom
* ΔH_f (0 K): -29.3 kJ per mole of atoms

Cell: 7.9459 7.7886 9.0559 Å, 115.47 90.00 90.00°
Closest atoms and distances in Å follow each position.
Fractional coordinates of all 18 atoms:
Pr 0.0000 0.0000 0.0000  4 Ru 3.05-3.09
Pr 0.5000 0.5000 0.0000  4 Ru 3.05-3.09
Pr 0.8311 0.7872 0.2389  3 Ru 2.95-3.11, 1 Hg 3.29
Pr 0.1689 0.4518 0.2389  3 Ru 2.95-3.11, 1 Hg 3.29
Pr 0.3311 0.9518 0.2389  3 Ru 2.95-3.11, 1 Hg 3.29
Pr 0.6689 0.2872 0.2389  3 Ru 2.95-3.11, 1 Hg 3.29
Pr 0.1689 0.2128 0.7611  3 Ru 2.95-3.11, 1 Hg 3.29
Pr 0.8311 0.5482 0.7611  3 Ru 2.95-3.11, 1 Hg 3.29
Pr 0.6689 0.0482 0.7611  3 Ru 2.95-3.11, 1 Hg 3.29
Pr 0.3311 0.7128 0.7611  3 Ru 2.95-3.11, 1 Hg 3.29
Hg 0.0000 0.2149 0.4298  7 Pr 3.29-3.51
Hg 0.5000 0.7149 0.4298  7 Pr 3.29-3.51
Hg 0.0000 0.7851 0.5702  7 Pr 3.29-3.51
Hg 0.5000 0.2851 0.5702  7 Pr 3.29-3.51
Ru 0.6336 0.8675 0.0000  8 Pr 2.95-3.11, 1 Ru 2.96
Ru 0.3664 0.1325 0.0000  8 Pr 2.95-3.11, 1 Ru 2.96
Ru 0.1336 0.6325 0.0000  8 Pr 2.95-3.11, 1 Ru 2.96
Ru 0.8664 0.3675 0.0000  8 Pr 2.95-3.11, 1 Ru 2.96

Record 12
## Pr3Hg2Ru (GGA-PBE)

Data for a geometry-optimized Pr3Hg2Ru structure.

Computed properties:
* total energy: -0.3207 Ry per atom
* M_tot: 0.0000 μB per atom
* ΔH_f (0 K): -31.6 kJ per mole of atoms
* energy relative to the lowest polymorph listed for this composition: 13 meV per atom

Cell: 5.4728 7.2720 9.5571 Å, 112.26 106.64 90.00°
Closest atoms and distances in Å follow each position.
Fractional coordinates of all 12 atoms:
Pr 0.4999 0.2500 0.0000  2 Ru 2.74
Pr 0.5001 0.7500 0.0000  2 Ru 2.74
Pr 0.1368 0.1369 0.2737  2 Ru 2.93-2.94
Pr 0.8632 0.3631 0.7263  2 Ru 2.93-2.94
Pr 0.1368 0.6369 0.2737  2 Ru 2.93-2.94
Pr 0.8632 0.8631 0.7263  2 Ru 2.93-2.94
Hg 0.6950 0.4450 0.3901  7 Pr 3.28-3.43, 4 Hg 3.30-3.64
Hg 0.6950 0.9450 0.3901  7 Pr 3.28-3.43, 4 Hg 3.30-3.64
Hg 0.3050 0.0550 0.6099  7 Pr 3.28-3.43, 4 Hg 3.30-3.64
Hg 0.3050 0.5550 0.6099  7 Pr 3.28-3.43, 4 Hg 3.30-3.64
Ru 0.0001 0.7500 0.0000  6 Pr 2.74-2.94
Ru 0.9999 0.2500 0.0000  6 Pr 2.74-2.94